A geometry-optimized TiV2WO structure. Source: the Alexandria database, functional GGA+U.

Cell: 4.143 4.143 4.239 Å, 90.00 90.00 90.00°
Space group P4/mmm (No. 123)
One atom of each set of equivalent atoms:
Ti: 0.000 0.000 0.000
V: 0.000 0.500 0.500
W: 0.500 0.500 0.000
O: 0.000 0.000 0.500

Final energy: -7.066 eV per atom